{
  "formula": "TeP2Ru2",
  "functional": "meta-GGA SCAN",
  "state": "PBEsol geometry",
  "dft_energy_ev_per_cell": -129.1,
  "e_form_raw_ev_per_atom": -0.28,
  "total_magnetization_mub_per_fu": 0.00,
  "cell": [[-1.827, 1.827, 6.161], [1.827, -1.827, 6.161], [1.827, 1.827, -6.161]],
  "species": ["Te", "P", "P", "Ru", "Ru"],
  "frac_coords": [[0.000, 0.000, 0.000], [0.250, 0.750, 0.500], [0.750, 0.250, 0.500], [0.362, 0.362, 0.000], [0.638, 0.638, 0.000]]
}

---

{
  "formula": "KTm2Cu3Se5",
  "functional": "meta-GGA SCAN",
  "state": "PBEsol geometry",
  "dft_energy_ev_per_cell": -543.5,
  "e_form_raw_ev_per_atom": -1.25,
  "total_magnetization_mub_per_fu": 0.00,
  "cell": [[2.009, -7.045, 0.000], [2.009, 7.045, 0.000], [0.000, 0.000, 16.505]],
  "species": ["K", "K", "Tm", "Tm", "Tm", "Tm", "Cu", "Cu", "Cu", "Cu", "Cu", "Cu", "Se", "Se", "Se", "Se", "Se", "Se", "Se", "Se", "Se", "Se"],
  "frac_coords": [[0.060, 0.940, 0.750], [0.940, 0.060, 0.250], [0.192, 0.808, 0.093], [0.192, 0.808, 0.407], [0.808, 0.192, 0.593], [0.808, 0.192, 0.907], [0.340, 0.660, 0.750], [0.414, 0.586, 0.027], [0.414, 0.586, 0.473], [0.586, 0.414, 0.527], [0.586, 0.414, 0.973], [0.660, 0.340, 0.250], [0.165, 0.835, 0.573], [0.165, 0.835, 0.927], [0.253, 0.747, 0.250], [0.442, 0.558, 0.620], [0.442, 0.558, 0.880], [0.558, 0.442, 0.120], [0.558, 0.442, 0.380], [0.747, 0.253, 0.750], [0.835, 0.165, 0.073], [0.835, 0.165, 0.427]]
}

---

{
  "formula": "Na2LaAs2",
  "functional": "meta-GGA SCAN",
  "state": "PBEsol geometry",
  "dft_energy_ev_per_cell": -189.6,
  "formation_energy_ev_per_atom": -0.58,
  "total_magnetization_mub_per_fu": 0.00,
  "cell": [[8.418, 0.000, 0.000], [0.000, 8.418, 0.000], [0.000, 0.000, 3.474]],
  "species": ["Na", "Na", "Na", "Na", "La", "La", "As", "As", "As", "As"],
  "frac_coords": [[0.119, 0.381, 0.000], [0.381, 0.881, 0.000], [0.619, 0.119, 0.000], [0.881, 0.619, 0.000], [0.000, 0.000, 0.500], [0.500, 0.500, 0.500], [0.181, 0.681, 0.500], [0.319, 0.181, 0.500], [0.681, 0.819, 0.500], [0.819, 0.319, 0.500]]
}

---

{
  "formula": "Ga2FeSe2",
  "functional": "meta-GGA SCAN",
  "state": "PBEsol geometry",
  "dft_energy_ev_per_cell": -90.6,
  "e_form_raw_ev_per_atom": 0.08,
  "total_magnetization_mub_per_fu": 3.36,
  "cell": [[-2.537, 2.537, 3.710], [2.537, -2.537, 3.710], [2.537, 2.537, -3.710]],
  "species": ["Ga", "Ga", "Fe", "Se", "Se"],
  "frac_coords": [[0.161, 0.161, 0.000], [0.839, 0.839, 0.000], [0.500, 0.500, 0.000], [0.250, 0.750, 0.500], [0.750, 0.250, 0.500]]
}

---

{
  "formula": "TcRhSe",
  "functional": "meta-GGA SCAN",
  "state": "PBEsol geometry",
  "dft_energy_ev_per_cell": -87.6,
  "e_form_raw_ev_per_atom": 0.44,
  "total_magnetization_mub_per_fu": 2.70,
  "cell": [[0.000, 2.946, 2.946], [2.946, 0.000, 2.946], [2.946, 2.946, 0.000]],
  "species": ["Tc", "Rh", "Se"],
  "frac_coords": [[0.000, 0.000, 0.000], [0.250, 0.250, 0.250], [0.500, 0.500, 0.500]]
}

---

{
  "formula": "SiSb2TePb",
  "functional": "meta-GGA SCAN",
  "state": "PBEsol geometry",
  "dft_energy_ev_per_cell": -191.0,
  "e_form_raw_ev_per_atom": 1.32,
  "total_magnetization_mub_per_fu": 0.00,
  "cell": [[5.599, 0.000, 0.000], [0.000, 5.599, 0.000], [0.000, 0.000, 5.739]],
  "species": ["Si", "Sb", "Sb", "Te", "Pb"],
  "frac_coords": [[0.000, 0.000, 0.000], [0.000, 0.500, 0.500], [0.500, 0.000, 0.500], [0.500, 0.500, 0.000], [0.500, 0.500, 0.500]]
}

---

{
  "formula": "Na7Zr4Si5PO24",
  "functional": "meta-GGA SCAN",
  "state": "PBEsol geometry",
  "dft_energy_ev_per_cell": -486.0,
  "e_form_raw_ev_per_atom": -3.02,
  "total_magnetization_mub_per_fu": 0.00,
  "cell": [[9.130, 0.000, 0.000], [4.546, 7.921, 0.000], [4.552, 2.497, 7.518]],
  "species": ["Na", "Na", "Na", "Na", "Na", "Na", "Na", "Zr", "Zr", "Zr", "Zr", "Si", "Si", "Si", "Si", "Si", "P", "O", "O", "O", "O", "O", "O", "O", "O", "O", "O", "O", "O", "O", "O", "O", "O", "O", "O", "O", "O", "O", "O", "O", "O"],
  "frac_coords": [[0.000, 0.000, 0.000], [0.098, 0.596, 0.833], [0.290, 0.414, 0.206], [0.439, 0.916, 0.669], [0.540, 0.310, 0.427], [0.648, 0.700, 0.180], [0.799, 0.196, 0.653], [0.198, 0.948, 0.489], [0.395, 0.151, 0.868], [0.695, 0.456, 0.982], [0.892, 0.662, 0.369], [0.097, 0.270, 0.662], [0.297, 0.770, 0.164], [0.509, 0.553, 0.667], [0.580, 0.058, 0.186], [0.792, 0.839, 0.690], [0.992, 0.342, 0.190], [0.023, 0.193, 0.360], [0.062, 0.430, 0.484], [0.095, 0.084, 0.674], [0.113, 0.744, 0.209], [0.147, 0.292, 0.023], [0.287, 0.234, 0.669], [0.292, 0.834, 0.305], [0.328, 0.925, 0.970], [0.329, 0.728, 0.656], [0.410, 0.039, 0.372], [0.460, 0.578, 0.166], [0.466, 0.379, 0.711], [0.527, 0.085, 0.026], [0.558, 0.532, 0.827], [0.617, 0.233, 0.149], [0.632, 0.032, 0.693], [0.680, 0.568, 0.482], [0.761, 0.882, 0.194], [0.766, 0.681, 0.882], [0.788, 0.783, 0.548], [0.809, 0.374, 0.188], [0.931, 0.315, 0.840], [0.978, 0.865, 0.636], [0.994, 0.518, 0.173]]
}

---

{
  "formula": "SbRu2SeN",
  "functional": "meta-GGA SCAN",
  "state": "PBEsol geometry",
  "dft_energy_ev_per_cell": -127.6,
  "e_form_raw_ev_per_atom": 1.73,
  "total_magnetization_mub_per_fu": 3.21,
  "cell": [[4.913, 0.000, 0.000], [0.000, 4.913, 0.000], [0.000, 0.000, 3.899]],
  "species": ["Sb", "Ru", "Ru", "Se", "N"],
  "frac_coords": [[0.000, 0.000, 0.000], [0.000, 0.500, 0.000], [0.500, 0.000, 0.000], [0.500, 0.500, 0.500], [0.000, 0.000, 0.500]]
}